VASP calculation (PBE) on TaBe2In after structural relaxation.

Values from the calculation:
- ΔE_f (meV/atom) = 570

Geometry as CIF:
```
data_TaBe2In
_cell_length_a 2.9043
_cell_length_b 2.9043
_cell_length_c 25.7897
_cell_angle_alpha 90.00
_cell_angle_beta 90.00
_cell_angle_gamma 120.00
_space_group_name_H-M_alt 'R 3 m'
_space_group_IT_number 160
_space_group_name_Hall 'R 3 -2"'
loop_
_atom_site_label
_atom_site_type_symbol
_atom_site_fract_x
_atom_site_fract_y
_atom_site_fract_z
Ta1 Ta 0.0000 0.0000 0.0000
Be1 Be 0.0000 0.0000 0.2511
Be2 Be 0.0000 0.0000 0.5217
In1 In 0.0000 0.0000 0.7673
```